Entry from Alexandria: a geometry-optimized TaZnPdPt structure (GGA-PBE).

Lattice parameters (Å, degrees): 6.3285 6.3285 6.3285 90.00 90.00 90.00
Last column: nearest neighbours and their distance in Å.
Space group F-43m (No. 216)
One atom of each set of equivalent atoms:
Ta (0.0000, 0.0000, 0.0000) x4  4 Pd 2.74, 4 Pt 2.74
Zn (0.0000, 0.0000, 0.5000) x4  4 Pd 2.74, 4 Pt 2.74
Pd (0.2500, 0.2500, 0.2500) x4  4 Ta 2.74, 4 Zn 2.74
Pt (0.2500, 0.2500, 0.7500) x4  4 Ta 2.74, 4 Zn 2.74

Calculated formation energy, meV per atom: -439
Density of states at the Fermi level, states/eV/f.u.: 3.23